La2ReBiMo: optimized geometry, PBE-GGA.

```
La2ReBiMo
1.0
-2.0472 -2.4665 4.2323
1.7938 -4.6459 -1.8399
4.4950 0.7104 2.5883
La Bi Re Mo
2 1 1 1
direct
0.5000 0.0000 0.0000
0.0000 0.5000 0.0000
0.0000 0.0000 0.5000
0.5000 0.5000 0.5000
0.0000 0.0000 0.0000
```

N(E_F) = 2.968 states/eV per atom
Calculated density = 8.65 g/cm³
Formation energy = 1180 meV/atom